Record 1
## SiPtPb4 (GGA-PBE)

Data for a relaxed SiPtPb4 crystal.

Results
total magnetization = 0.00 μB/f.u.
space-group type = F-43m (216)
DOS(E_F) = 0.481 states/eV per atom
total energy = -21.8 eV/cell

Cell lengths 6.2411, 6.2411, 6.2411 Å; angles 60.00, 60.00, 60.00 degrees
Positions (direct):
Si 0.0000 0.0000 0.0000
Pt 0.7500 0.7500 0.7500
Pb 0.8746 0.3751 0.3751
Pb 0.3751 0.3751 0.8746
Pb 0.3751 0.8746 0.3751
Pb 0.3751 0.3751 0.3751



Record 2
## Si2PtPb2 (GGA-PBE)

Data for a relaxed Si2PtPb2 crystal.

Results
total magnetization = 0.00 μB/f.u.
space-group type = P4/mbm (127)
DOS(E_F) = 0.327 states/eV per atom
total energy = -49.4 eV/cell

Cell lengths 6.3615, 6.3615, 5.3404 Å; angles 90.00, 90.00, 90.00 degrees
Positions (direct):
Pb 0.1809 0.6809 0.5000
Pb 0.6809 0.8191 0.5000
Pb 0.8191 0.3191 0.5000
Pb 0.3191 0.1809 0.5000
Si 0.3658 0.8658 0.0000
Si 0.8658 0.6342 0.0000
Si 0.6342 0.1342 0.0000
Si 0.1342 0.3658 0.0000
Pt 0.0000 0.0000 0.0000
Pt 0.5000 0.5000 0.0000



Record 3
## Si2Pt2Pb (GGA-PBE)

Data for a relaxed Si2Pt2Pb crystal.

Results
total magnetization = 0.00 μB/f.u.
space-group type = P4/mbm (127)
DOS(E_F) = 0.624 states/eV per atom
total energy = -54.4 eV/cell

Cell lengths 7.7530, 7.7530, 2.9797 Å; angles 90.00, 90.00, 90.00 degrees
Positions (direct):
Pb 0.0000 0.0000 0.0000
Pb 0.5000 0.5000 0.0000
Si 0.1414 0.6414 0.5000
Si 0.6414 0.8586 0.5000
Si 0.8586 0.3586 0.5000
Si 0.3586 0.1414 0.5000
Pt 0.3682 0.8682 0.0000
Pt 0.8682 0.6318 0.0000
Pt 0.6318 0.1318 0.0000
Pt 0.1318 0.3682 0.0000



Record 4
## USi2Pt7Pb2 (GGA-PBE)

Data for a relaxed USi2Pt7Pb2 crystal.

Results
total magnetization = 1.65 μB/f.u.
space-group type = C2/m (12)
DOS(E_F) = 0.722 states/eV per atom
total energy = -78.1 eV/cell

Cell lengths 3.9922, 3.9922, 15.6362 Å; angles 82.59, 82.59, 90.01 degrees
Positions (direct):
U 0.0000 0.0000 0.0000
Si 0.6189 0.6189 0.7644
Si 0.3811 0.3811 0.2356
Pt 0.5000 0.5000 0.0000
Pt 0.3063 0.3063 0.3854
Pt 0.6937 0.6937 0.6146
Pt 0.9270 0.4271 0.1447
Pt 0.4271 0.9270 0.1447
Pt 0.5729 0.0730 0.8553
Pt 0.0730 0.5729 0.8553
Pb 0.7889 0.7889 0.4206
Pb 0.2111 0.2111 0.5794



Record 5
## Si2PtPbW (GGA-PBE)

Data for a relaxed Si2PtPbW crystal.

Results
total magnetization = 0.00 μB/f.u.
space-group type = P4/mmm (123)
DOS(E_F) = 1.159 states/eV per atom
total energy = -21.0 eV/cell

Cell lengths 4.9962, 5.1817, 4.9962 Å; angles 90.00, 90.00, 90.00 degrees
Positions (direct):
Pb 0.0000 0.0000 0.0000
Si 0.0000 0.0000 0.5000
Si 0.5000 0.0000 0.0000
W 0.0000 0.5000 0.0000
Pt 0.5000 0.5000 0.5000



Record 6
## SiPt2PbW (GGA-PBE)

Data for a relaxed SiPt2PbW crystal.

Results
total magnetization = 0.00 μB/f.u.
space-group type = P4/mmm (123)
DOS(E_F) = 0.815 states/eV per atom
total energy = -30.8 eV/cell

Cell lengths 4.9431, 4.7637, 4.9431 Å; angles 90.00, 90.00, 90.00 degrees
Positions (direct):
Pb 0.5000 0.5000 0.5000
Si 0.0000 0.5000 0.0000
W 0.0000 0.0000 0.0000
Pt 0.0000 0.0000 0.5000
Pt 0.5000 0.0000 0.0000



Record 7
## YSi2Pt7Pb2 (GGA-PBE)

Data for a relaxed YSi2Pt7Pb2 crystal.

Results
total magnetization = 0.00 μB/f.u.
space-group type = C2/m (12)
DOS(E_F) = 0.242 states/eV per atom
total energy = -74.8 eV/cell

Cell lengths 4.0882, 4.0882, 13.9073 Å; angles 85.18, 85.18, 89.66 degrees
Positions (direct):
Y 0.0000 0.0000 0.0000
Si 0.5721 0.5721 0.7507
Si 0.4279 0.4279 0.2493
Pt 0.5000 0.5000 0.0000
Pt 0.3908 0.3908 0.4189
Pt 0.6092 0.6092 0.5811
Pt 0.9547 0.4561 0.1571
Pt 0.4561 0.9547 0.1571
Pt 0.5439 0.0453 0.8429
Pt 0.0453 0.5439 0.8429
Pb 0.9033 0.9033 0.3816
Pb 0.0967 0.0967 0.6184



Record 8
## Sm7Pt2Pb2 (GGA-PBE)

Data for a relaxed Sm7Pt2Pb2 crystal.

Results
total magnetization = 0.00 μB/f.u.
space-group type = Cmmm (65)
DOS(E_F) = 1.036 states/eV per atom
formation energy from the elements = -5.9 eV per formula unit

Cell lengths 7.0903, 7.2264, 7.0903 Å; angles 90.00, 106.23, 90.00 degrees
Positions (direct):
Sm 0.9998 0.2503 0.5003
Sm 0.5003 0.7497 0.9998
Sm 0.0002 0.7497 0.4997
Sm 0.4997 0.2503 0.0002
Sm 0.0000 0.0000 0.0000
Sm 0.5002 0.7633 0.4998
Sm 0.4998 0.2367 0.5002
Pt 0.7165 0.0000 0.2835
Pt 0.2835 0.0000 0.7165
Pb 0.8173 0.5000 0.8173
Pb 0.1827 0.5000 0.1827